Entry 1:
# TaBeP2S, optimized geometry, DFT PBE-GGA
data_TaBeP2S
_space_group_name_H-M_alt 'P 4/m m m'
_space_group_IT_number 123
_space_group_name_Hall '-P 4 2'
_cell_length_a 4.858
_cell_length_b 4.858
_cell_length_c 4.678
_cell_angle_alpha 90.00
_cell_angle_beta 90.00
_cell_angle_gamma 90.00
loop_
_atom_site_label
_atom_site_type_symbol
_atom_site_fract_x
_atom_site_fract_y
_atom_site_fract_z
_atom_site_occupancy
Ta1 Ta 0.000 0.000 0.000 1
Be1 Be 0.500 0.500 0.500 1
P1 P 0.000 0.500 0.000 1
S1 S 0.000 0.000 0.500 1
# E above lowest polymorph = 40 meV/atom
# E = -5.435 eV/atom
# formation energy (no corrections) = 0.67 eV per atom
# calculated volume = 22.08 Å³/atom

---

Entry 2:
# TiBeP2S, optimized geometry, DFT PBE-GGA
data_TiBeP2S
_space_group_name_H-M_alt 'P 4/m m m'
_space_group_IT_number 123
_space_group_name_Hall '-P 4 2'
_cell_length_a 4.002
_cell_length_b 4.002
_cell_length_c 4.956
_cell_angle_alpha 90.00
_cell_angle_beta 90.00
_cell_angle_gamma 90.00
loop_
_atom_site_label
_atom_site_type_symbol
_atom_site_fract_x
_atom_site_fract_y
_atom_site_fract_z
_atom_site_occupancy
Ti1 Ti 0.000 0.000 0.000 1
Be1 Be 0.500 0.500 0.500 1
P1 P 0.000 0.500 0.500 1
S1 S 0.500 0.500 0.000 1
# E above lowest polymorph = 0 meV/atom
# E = -4.996 eV/atom
# formation energy (no corrections) = 0.32 eV per atom
# calculated volume = 15.87 Å³/atom

---

Entry 3:
# TiBeP2S, optimized geometry, DFT PBE-GGA
data_TiBeP2S
_space_group_name_H-M_alt 'P 4/m m m'
_space_group_IT_number 123
_space_group_name_Hall '-P 4 2'
_cell_length_a 4.726
_cell_length_b 4.726
_cell_length_c 4.572
_cell_angle_alpha 90.00
_cell_angle_beta 90.00
_cell_angle_gamma 90.00
loop_
_atom_site_label
_atom_site_type_symbol
_atom_site_fract_x
_atom_site_fract_y
_atom_site_fract_z
_atom_site_occupancy
Ti1 Ti 0.000 0.000 0.000 1
Be1 Be 0.500 0.500 0.500 1
P1 P 0.000 0.500 0.000 1
S1 S 0.000 0.000 0.500 1
# E above lowest polymorph = 242 meV/atom
# E = -4.753 eV/atom
# formation energy (no corrections) = 0.56 eV per atom
# calculated volume = 20.42 Å³/atom

---

Entry 4:
# BeVP2S, optimized geometry, DFT PBE-GGA
data_BeVP2S
_space_group_name_H-M_alt 'P 4/m m m'
_space_group_IT_number 123
_space_group_name_Hall '-P 4 2'
_cell_length_a 4.574
_cell_length_b 4.574
_cell_length_c 4.420
_cell_angle_alpha 90.00
_cell_angle_beta 90.00
_cell_angle_gamma 90.00
loop_
_atom_site_label
_atom_site_type_symbol
_atom_site_fract_x
_atom_site_fract_y
_atom_site_fract_z
_atom_site_occupancy
Be1 Be 0.000 0.000 0.000 1
V1 V 0.500 0.500 0.500 1
P1 P 0.000 0.500 0.500 1
S1 S 0.500 0.500 0.000 1
# E above lowest polymorph = 0 meV/atom
# E = -4.932 eV/atom
# formation energy (no corrections) = 0.63 eV per atom
# calculated volume = 18.49 Å³/atom

---

Entry 5:
# BeVP2S, optimized geometry, DFT PBE-GGA
data_BeVP2S
_space_group_name_H-M_alt 'P 4/m m m'
_space_group_IT_number 123
_space_group_name_Hall '-P 4 2'
_cell_length_a 4.017
_cell_length_b 4.017
_cell_length_c 4.720
_cell_angle_alpha 90.00
_cell_angle_beta 90.00
_cell_angle_gamma 90.00
loop_
_atom_site_label
_atom_site_type_symbol
_atom_site_fract_x
_atom_site_fract_y
_atom_site_fract_z
_atom_site_occupancy
Be1 Be 0.000 0.000 0.000 1
V1 V 0.500 0.500 0.500 1
P1 P 0.000 0.500 0.000 1
S1 S 0.000 0.000 0.500 1
# E above lowest polymorph = 81 meV/atom
# E = -4.851 eV/atom
# formation energy (no corrections) = 0.71 eV per atom
# calculated volume = 15.23 Å³/atom

---

Entry 6:
# BeP2WS, optimized geometry, DFT PBE-GGA
data_BeP2WS
_space_group_name_H-M_alt 'P 4/m m m'
_space_group_IT_number 123
_space_group_name_Hall '-P 4 2'
_cell_length_a 4.781
_cell_length_b 4.781
_cell_length_c 4.545
_cell_angle_alpha 90.00
_cell_angle_beta 90.00
_cell_angle_gamma 90.00
loop_
_atom_site_label
_atom_site_type_symbol
_atom_site_fract_x
_atom_site_fract_y
_atom_site_fract_z
_atom_site_occupancy
Be1 Be 0.000 0.000 0.000 1
P1 P 0.000 0.500 0.500 1
W1 W 0.500 0.500 0.500 1
S1 S 0.500 0.500 0.000 1
# E above lowest polymorph = 0 meV/atom
# E = -5.473 eV/atom
# formation energy (no corrections) = 0.85 eV per atom
# calculated volume = 20.78 Å³/atom

---

Entry 7:
# BeP2WS, optimized geometry, DFT PBE-GGA
data_BeP2WS
_space_group_name_H-M_alt 'P 4/m m m'
_space_group_IT_number 123
_space_group_name_Hall '-P 4 2'
_cell_length_a 4.007
_cell_length_b 4.007
_cell_length_c 4.525
_cell_angle_alpha 90.00
_cell_angle_beta 90.00
_cell_angle_gamma 90.00
loop_
_atom_site_label
_atom_site_type_symbol
_atom_site_fract_x
_atom_site_fract_y
_atom_site_fract_z
_atom_site_occupancy
Be1 Be 0.000 0.000 0.000 1
P1 P 0.000 0.500 0.000 1
W1 W 0.500 0.500 0.500 1
S1 S 0.000 0.000 0.500 1
# E above lowest polymorph = 161 meV/atom
# E = -5.313 eV/atom
# formation energy (no corrections) = 1.01 eV per atom
# calculated volume = 14.53 Å³/atom

---

Entry 8:
# BeZnP2S, optimized geometry, DFT PBE-GGA
data_BeZnP2S
_space_group_name_H-M_alt 'P 4/m m m'
_space_group_IT_number 123
_space_group_name_Hall '-P 4 2'
_cell_length_a 4.093
_cell_length_b 4.093
_cell_length_c 4.914
_cell_angle_alpha 90.00
_cell_angle_beta 90.00
_cell_angle_gamma 90.00
loop_
_atom_site_label
_atom_site_type_symbol
_atom_site_fract_x
_atom_site_fract_y
_atom_site_fract_z
_atom_site_occupancy
Be1 Be 0.000 0.000 0.000 1
Zn1 Zn 0.500 0.500 0.500 1
P1 P 0.000 0.500 0.000 1
S1 S 0.000 0.000 0.500 1
# E above lowest polymorph = 0 meV/atom
# E = -3.363 eV/atom
# formation energy (no corrections) = 0.63 eV per atom
# calculated volume = 16.46 Å³/atom

---

Entry 9:
# BeZnPS2, optimized geometry, DFT PBE-GGA
data_BeZnPS2
_space_group_name_H-M_alt 'P 4/m m m'
_space_group_IT_number 123
_space_group_name_Hall '-P 4 2'
_cell_length_a 4.563
_cell_length_b 4.563
_cell_length_c 3.989
_cell_angle_alpha 90.00
_cell_angle_beta 90.00
_cell_angle_gamma 90.00
loop_
_atom_site_label
_atom_site_type_symbol
_atom_site_fract_x
_atom_site_fract_y
_atom_site_fract_z
_atom_site_occupancy
Be1 Be 0.000 0.000 0.000 1
Zn1 Zn 0.500 0.500 0.500 1
P1 P 0.000 0.000 0.500 1
S1 S 0.000 0.500 0.000 1
# E above lowest polymorph = 0 meV/atom
# E = -3.235 eV/atom
# formation energy (no corrections) = 0.50 eV per atom
# calculated volume = 16.62 Å³/atom

---

Entry 10:
# BeZnP2S, optimized geometry, DFT PBE-GGA
data_BeZnP2S
_space_group_name_H-M_alt 'P 4/m m m'
_space_group_IT_number 123
_space_group_name_Hall '-P 4 2'
_cell_length_a 4.542
_cell_length_b 4.542
_cell_length_c 4.736
_cell_angle_alpha 90.00
_cell_angle_beta 90.00
_cell_angle_gamma 90.00
loop_
_atom_site_label
_atom_site_type_symbol
_atom_site_fract_x
_atom_site_fract_y
_atom_site_fract_z
_atom_site_occupancy
Be1 Be 0.000 0.000 0.000 1
Zn1 Zn 0.500 0.500 0.500 1
P1 P 0.000 0.500 0.500 1
S1 S 0.500 0.500 0.000 1
# E above lowest polymorph = 637 meV/atom
# E = -2.726 eV/atom
# formation energy (no corrections) = 1.26 eV per atom
# calculated volume = 19.54 Å³/atom

---

Entry 11:
# BeZnPS2, optimized geometry, DFT PBE-GGA
data_BeZnPS2
_space_group_name_H-M_alt 'P 4/m m m'
_space_group_IT_number 123
_space_group_name_Hall '-P 4 2'
_cell_length_a 4.664
_cell_length_b 4.664
_cell_length_c 4.547
_cell_angle_alpha 90.00
_cell_angle_beta 90.00
_cell_angle_gamma 90.00
loop_
_atom_site_label
_atom_site_type_symbol
_atom_site_fract_x
_atom_site_fract_y
_atom_site_fract_z
_atom_site_occupancy
Be1 Be 0.000 0.000 0.000 1
Zn1 Zn 0.500 0.500 0.500 1
P1 P 0.500 0.500 0.000 1
S1 S 0.000 0.500 0.500 1
# E above lowest polymorph = 617 meV/atom
# E = -2.618 eV/atom
# formation energy (no corrections) = 1.11 eV per atom
# calculated volume = 19.78 Å³/atom

---

Entry 12:
# ZrBeP2S, optimized geometry, DFT PBE-GGA
data_ZrBeP2S
_space_group_name_H-M_alt 'P 4/m m m'
_space_group_IT_number 123
_space_group_name_Hall '-P 4 2'
_cell_length_a 4.040
_cell_length_b 4.040
_cell_length_c 5.000
_cell_angle_alpha 90.00
_cell_angle_beta 90.00
_cell_angle_gamma 90.00
loop_
_atom_site_label
_atom_site_type_symbol
_atom_site_fract_x
_atom_site_fract_y
_atom_site_fract_z
_atom_site_occupancy
Zr1 Zr 0.000 0.000 0.000 1
Be1 Be 0.500 0.500 0.500 1
P1 P 0.000 0.500 0.500 1
S1 S 0.500 0.500 0.000 1
# E above lowest polymorph = 0 meV/atom
# E = -5.407 eV/atom
# formation energy (no corrections) = 0.04 eV per atom
# calculated volume = 16.32 Å³/atom